The following is a DFT calculation (PBE) of TbMnRh2 after structural relaxation.

Its calculated formation energy is -11.10 kcal/mol of atoms. The calculation puts the magnetic moment at 4.6 μB/cell. Its density of states at the Fermi level is 1.9 states/eV/f.u.

Structure (POSCAR):
```
TbMnRh2
1.0
4.5981 0.0000 0.0000
2.2990 3.9821 0.0000
2.2990 1.3274 3.7543
Rh Mn Tb
2 1 1
Direct
0.2500 0.2500 0.2500
0.7500 0.7500 0.7500
0.5000 0.5000 0.5000
0.0000 0.0000 0.0000
```



The following is a DFT calculation (PBE) of TbTmMnRh after structural relaxation.

Its calculated formation energy is -6.73 kcal/mol of atoms. The calculation puts the magnetic moment at 3.1 μB/cell. Its density of states at the Fermi level is 4.7 states/eV/f.u.

Structure (POSCAR):
```
TbTmMnRh
1.0
4.8888 0.0000 0.0000
2.4444 4.2338 0.0000
2.4444 1.4113 3.9917
Rh Tm Tb Mn
1 1 1 1
Direct
0.0000 0.0000 0.0000
0.7500 0.7500 0.7500
0.2500 0.2500 0.2500
0.5000 0.5000 0.5000
```



The following is a DFT calculation (PBE) of TbYMnRh after structural relaxation.

Its calculated formation energy is -5.78 kcal/mol of atoms. The calculation puts the magnetic moment at 3.2 μB/cell. Its density of states at the Fermi level is 5.0 states/eV/f.u.

Structure (POSCAR):
```
TbYMnRh
1.0
4.9354 0.0000 0.0000
2.4677 4.2742 0.0000
2.4677 1.4247 4.0297
Y Rh Mn Tb
1 1 1 1
Direct
0.2500 0.2500 0.2500
0.0000 0.0000 0.0000
0.5000 0.5000 0.5000
0.7500 0.7500 0.7500
```